1.
# Hf6FeHg2 | Alexandria via LeMat-Bulk | PBE-GGA | optimized geometry
# SG: P-62m, No. 189
# ρ in g cm⁻³: 13.6
# ΔE_f in eV per atom: -0.1126
# Energy above the lowest structure with this stoichiometry in kJ/mol of formula units: 0.0
# Raw total energy in eV/cell: -69.8
data_Hf6FeHg2
_symmetry_space_group_name_H-M 'P 1'
_symmetry_Int_Tables_number 1
_cell_length_a 8.027
_cell_length_b 8.027
_cell_length_c 3.333
_cell_angle_alpha 90.00
_cell_angle_beta 90.00
_cell_angle_gamma 120.00
loop_
_symmetry_equiv_pos_as_xyz
'x,y,z'
loop_
_atom_site_label
_atom_site_fract_x
_atom_site_fract_y
_atom_site_fract_z
Hf1 0.000 0.240 0.000
Hf2 0.000 0.619 0.500
Hf3 0.240 0.000 0.000
Hf4 0.381 0.381 0.500
Hf5 0.619 0.000 0.500
Hf6 0.760 0.760 0.000
Fe1 0.000 0.000 0.500
Hg1 0.333 0.667 0.000
Hg2 0.667 0.333 0.000


2.
# Hf5Fe4Hg | Alexandria via LeMat-Bulk | PBE-GGA | optimized geometry
# SG: P4/mmm, No. 123
# ρ in g cm⁻³: 13.1
# ΔE_f in eV per atom: -0.2602
# Raw total energy in eV/cell: -86.5
data_Hf5Fe4Hg
_symmetry_space_group_name_H-M 'P 1'
_symmetry_Int_Tables_number 1
_cell_length_a 3.137
_cell_length_b 3.137
_cell_length_c 16.923
_cell_angle_alpha 90.00
_cell_angle_beta 90.00
_cell_angle_gamma 90.00
loop_
_symmetry_equiv_pos_as_xyz
'x,y,z'
loop_
_atom_site_label
_atom_site_fract_x
_atom_site_fract_y
_atom_site_fract_z
Hf1 0.000 0.000 0.000
Hf2 0.000 0.000 0.186
Hf3 0.000 0.000 0.371
Hf4 0.000 0.000 0.629
Hf5 0.000 0.000 0.814
Fe1 0.500 0.500 0.093
Fe2 0.500 0.500 0.280
Fe3 0.500 0.500 0.720
Fe4 0.500 0.500 0.907
Hg1 0.500 0.500 0.500


3.
# Hf6FeHg2 | Alexandria via LeMat-Bulk | PBE-GGA | optimized geometry
# SG: P-1, No. 2
# ρ in g cm⁻³: 12.2
# ΔE_f in eV per atom: 0.2458
# Energy above the lowest structure with this stoichiometry in kJ/mol of formula units: 311.2
# Raw total energy in eV/cell: -66.6
data_Hf6FeHg2
_symmetry_space_group_name_H-M 'P 1'
_symmetry_Int_Tables_number 1
_cell_length_a 4.939
_cell_length_b 6.324
_cell_length_c 7.657
_cell_angle_alpha 110.78
_cell_angle_beta 104.40
_cell_angle_gamma 99.77
loop_
_symmetry_equiv_pos_as_xyz
'x,y,z'
loop_
_atom_site_label
_atom_site_fract_x
_atom_site_fract_y
_atom_site_fract_z
Hf1 0.049 0.269 0.001
Hf2 0.312 0.600 0.715
Hf3 0.408 0.117 0.718
Hf4 0.592 0.883 0.282
Hf5 0.688 0.400 0.285
Hf6 0.951 0.731 0.999
Fe1 0.500 0.500 0.000
Hg1 0.177 0.177 0.358
Hg2 0.823 0.823 0.642


4.
# Hf6FeHg | Alexandria via LeMat-Bulk | PBE-GGA | optimized geometry
# SG: P-1, No. 2
# ρ in g cm⁻³: 12.8
# ΔE_f in eV per atom: 0.0689
# Raw total energy in eV/cell: -67.9
data_Hf6FeHg
_symmetry_space_group_name_H-M 'P 1'
_symmetry_Int_Tables_number 1
_cell_length_a 4.635
_cell_length_b 5.680
_cell_length_c 7.262
_cell_angle_alpha 99.68
_cell_angle_beta 90.07
_cell_angle_gamma 113.98
loop_
_symmetry_equiv_pos_as_xyz
'x,y,z'
loop_
_atom_site_label
_atom_site_fract_x
_atom_site_fract_y
_atom_site_fract_z
Hf1 0.097 0.194 0.221
Hf2 0.204 0.405 0.818
Hf3 0.348 0.697 0.487
Hf4 0.652 0.303 0.513
Hf5 0.796 0.595 0.182
Hf6 0.903 0.806 0.779
Fe1 0.000 0.000 0.500
Hg1 0.500 0.000 0.000


5.
# Hf2FeHg | Alexandria via LeMat-Bulk | PBE-GGA | optimized geometry
# SG: P4/mmm, No. 123
# ρ in g cm⁻³: 13.7
# ΔE_f in eV per atom: -0.1699
# Raw total energy in eV/cell: -29.4
data_Hf2FeHg
_symmetry_space_group_name_H-M 'P 1'
_symmetry_Int_Tables_number 1
_cell_length_a 3.160
_cell_length_b 3.160
_cell_length_c 7.423
_cell_angle_alpha 90.00
_cell_angle_beta 90.00
_cell_angle_gamma 90.00
loop_
_symmetry_equiv_pos_as_xyz
'x,y,z'
loop_
_atom_site_label
_atom_site_fract_x
_atom_site_fract_y
_atom_site_fract_z
Hf1 0.000 0.000 0.208
Hf2 0.000 0.000 0.792
Fe1 0.500 0.500 0.000
Hg1 0.500 0.500 0.500


6.
# Hf6FeHg3 | Alexandria via LeMat-Bulk | PBE-GGA | optimized geometry
# SG: C2/m, No. 12
# ρ in g cm⁻³: 12.9
# ΔE_f in eV per atom: 0.1923
# Raw total energy in eV/cell: -67.2
data_Hf6FeHg3
_symmetry_space_group_name_H-M 'P 1'
_symmetry_Int_Tables_number 1
_cell_length_a 6.131
_cell_length_b 6.131
_cell_length_c 6.871
_cell_angle_alpha 102.01
_cell_angle_beta 102.01
_cell_angle_gamma 62.54
loop_
_symmetry_equiv_pos_as_xyz
'x,y,z'
loop_
_atom_site_label
_atom_site_fract_x
_atom_site_fract_y
_atom_site_fract_z
Hf1 0.136 0.637 0.652
Hf2 0.341 0.341 0.161
Hf3 0.363 0.864 0.348
Hf4 0.637 0.136 0.652
Hf5 0.659 0.659 0.839
Hf6 0.864 0.363 0.348
Fe1 0.500 0.500 0.500
Hg1 0.000 0.000 0.000
Hg2 0.172 0.172 0.739
Hg3 0.828 0.828 0.261


7.
# Hf6Fe2Hg | Alexandria via LeMat-Bulk | PBE-GGA | optimized geometry
# SG: Immm, No. 71
# ρ in g cm⁻³: 13.0
# ΔE_f in eV per atom: -0.1364
# Raw total energy in eV/cell: -156.4
data_Hf6Fe2Hg
_symmetry_space_group_name_H-M 'P 1'
_symmetry_Int_Tables_number 1
_cell_length_a 7.743
_cell_length_b 7.743
_cell_length_c 7.743
_cell_angle_alpha 114.18
_cell_angle_beta 112.13
_cell_angle_gamma 102.34
loop_
_symmetry_equiv_pos_as_xyz
'x,y,z'
loop_
_atom_site_label
_atom_site_fract_x
_atom_site_fract_y
_atom_site_fract_z
Hf1 0.027 0.235 0.792
Hf2 0.188 0.302 0.489
Hf3 0.188 0.698 0.886
Hf4 0.330 0.021 0.691
Hf5 0.330 0.639 0.309
Hf6 0.443 0.235 0.208
Hf7 0.557 0.765 0.792
Hf8 0.670 0.361 0.691
Hf9 0.670 0.979 0.309
Hf10 0.812 0.302 0.114
Hf11 0.812 0.698 0.511
Hf12 0.973 0.765 0.208
Fe1 0.132 0.632 0.500
Fe2 0.334 0.000 0.334
Fe3 0.666 0.000 0.666
Fe4 0.868 0.368 0.500
Hg1 0.000 0.000 0.000
Hg2 0.500 0.500 0.000


8.
# Hf3Fe2Hg | Alexandria via LeMat-Bulk | PBE-GGA | optimized geometry
# SG: P4/mmm, No. 123
# ρ in g cm⁻³: 13.4
# ΔE_f in eV per atom: -0.2178
# Raw total energy in eV/cell: -48.4
data_Hf3Fe2Hg
_symmetry_space_group_name_H-M 'P 1'
_symmetry_Int_Tables_number 1
_cell_length_a 3.150
_cell_length_b 3.150
_cell_length_c 10.587
_cell_angle_alpha 90.00
_cell_angle_beta 90.00
_cell_angle_gamma 90.00
loop_
_symmetry_equiv_pos_as_xyz
'x,y,z'
loop_
_atom_site_label
_atom_site_fract_x
_atom_site_fract_y
_atom_site_fract_z
Hf1 0.000 0.000 0.000
Hf2 0.000 0.000 0.294
Hf3 0.000 0.000 0.706
Fe1 0.500 0.500 0.151
Fe2 0.500 0.500 0.849
Hg1 0.500 0.500 0.500


9.
# HfFeHg3 | Alexandria via LeMat-Bulk | PBE-GGA | optimized geometry
# SG: Pm-3m, No. 221
# ρ in g cm⁻³: 11.8
# ΔE_f in eV per atom: 0.7855
# Energy above the lowest structure with this stoichiometry in kJ/mol of formula units: 0.0
# Raw total energy in eV/cell: -15.4
data_HfFeHg3
_symmetry_space_group_name_H-M 'P 1'
_symmetry_Int_Tables_number 1
_cell_length_a 4.894
_cell_length_b 4.894
_cell_length_c 4.894
_cell_angle_alpha 90.00
_cell_angle_beta 90.00
_cell_angle_gamma 90.00
loop_
_symmetry_equiv_pos_as_xyz
'x,y,z'
loop_
_atom_site_label
_atom_site_fract_x
_atom_site_fract_y
_atom_site_fract_z
Hf1 0.000 0.000 0.000
Fe1 0.500 0.500 0.500
Hg1 0.000 0.500 0.500
Hg2 0.500 0.000 0.500
Hg3 0.500 0.500 0.000


10.
# HfFe2Hg | Alexandria via LeMat-Bulk | PBE-GGA | optimized geometry
# SG: I-42d, No. 122
# ρ in g cm⁻³: 11.2
# ΔE_f in eV per atom: 0.6064
# Raw total energy in eV/cell: -49.5
data_HfFe2Hg
_symmetry_space_group_name_H-M 'P 1'
_symmetry_Int_Tables_number 1
_cell_length_a 9.717
_cell_length_b 9.717
_cell_length_c 9.717
_cell_angle_alpha 156.52
_cell_angle_beta 156.52
_cell_angle_gamma 33.45
loop_
_symmetry_equiv_pos_as_xyz
'x,y,z'
loop_
_atom_site_label
_atom_site_fract_x
_atom_site_fract_y
_atom_site_fract_z
Hf1 0.000 0.000 0.000
Hf2 0.750 0.250 0.500
Fe1 0.100 0.625 0.975
Fe2 0.375 0.350 0.475
Fe3 0.650 0.125 0.025
Fe4 0.875 0.900 0.525
Hg1 0.250 0.750 0.500
Hg2 0.500 0.500 0.000


11.
# Hf2FeHg | Alexandria via LeMat-Bulk | PBE-GGA | optimized geometry
# SG: I-42d, No. 122
# ρ in g cm⁻³: 13.1
# ΔE_f in eV per atom: 0.3080
# Raw total energy in eV/cell: -54.9
data_Hf2FeHg
_symmetry_space_group_name_H-M 'P 1'
_symmetry_Int_Tables_number 1
_cell_length_a 5.961
_cell_length_b 5.961
_cell_length_c 5.961
_cell_angle_alpha 103.02
_cell_angle_beta 103.02
_cell_angle_gamma 123.34
loop_
_symmetry_equiv_pos_as_xyz
'x,y,z'
loop_
_atom_site_label
_atom_site_fract_x
_atom_site_fract_y
_atom_site_fract_z
Hf1 0.074 0.625 0.949
Hf2 0.375 0.324 0.449
Hf3 0.676 0.125 0.051
Hf4 0.875 0.926 0.551
Fe1 0.000 0.000 0.000
Fe2 0.750 0.250 0.500
Hg1 0.250 0.750 0.500
Hg2 0.500 0.500 0.000


12.
# Hf5In2Fe2Hg | Alexandria via LeMat-Bulk | PBE-GGA | optimized geometry
# SG: P4/mbm, No. 127
# ρ in g cm⁻³: 11.8
# ΔE_f in eV per atom: -0.1321
# Raw total energy in eV/cell: -147.6
data_Hf5In2Fe2Hg
_symmetry_space_group_name_H-M 'P 1'
_symmetry_Int_Tables_number 1
_cell_length_a 11.072
_cell_length_b 11.072
_cell_length_c 3.281
_cell_angle_alpha 90.00
_cell_angle_beta 90.00
_cell_angle_gamma 90.00
loop_
_symmetry_equiv_pos_as_xyz
'x,y,z'
loop_
_atom_site_label
_atom_site_fract_x
_atom_site_fract_y
_atom_site_fract_z
Hf1 0.000 0.500 0.000
Hf2 0.071 0.213 0.000
Hf3 0.213 0.929 0.000
Hf4 0.287 0.429 0.000
Hf5 0.429 0.713 0.000
Hf6 0.500 0.000 0.000
Hf7 0.571 0.287 0.000
Hf8 0.713 0.571 0.000
Hf9 0.787 0.071 0.000
Hf10 0.929 0.787 0.000
In1 0.175 0.675 0.500
In2 0.325 0.175 0.500
In3 0.675 0.825 0.500
In4 0.825 0.325 0.500
Fe1 0.128 0.372 0.500
Fe2 0.372 0.872 0.500
Fe3 0.628 0.128 0.500
Fe4 0.872 0.628 0.500
Hg1 0.000 0.000 0.500
Hg2 0.500 0.500 0.500